(1)
Crystalline MnBi2Rh2 at its relaxed geometry. Source: Alexandria via LeMat-Bulk, functional PBE-GGA.

Output
Relative energy among the computed polymorphs: 0.0 meV/atom
Energy of formation from the pure elements: 435 meV/atom

Lattice parameters (Å, degrees): 6.877 6.877 4.136 90.00 90.00 90.00
Space group P4/mbm (No. 127)
Inequivalent atoms, fractional coordinates:
Mn (0.000, 0.000, 0.000)
Bi (0.171, 0.329, 0.500)
Rh (0.141, 0.641, 0.000)

***

(2)
Crystalline MnBi2Rh2 at its relaxed geometry. Source: Alexandria via LeMat-Bulk, functional PBE-GGA.

Output
Relative energy among the computed polymorphs: 265.0 meV/atom
Energy of formation from the pure elements: 700 meV/atom

Lattice parameters (Å, degrees): 3.562 3.562 16.091 90.00 90.00 90.00
Space group I4/mmm (No. 139)
Inequivalent atoms, fractional coordinates:
Mn (0.000, 0.000, 0.000)
Bi (0.000, 0.000, 0.398)
Rh (0.000, 0.500, 0.250)

***

(3)
Crystalline Mn3BiRh at its relaxed geometry. Source: Alexandria via LeMat-Bulk, functional PBE-GGA.

Output
Relative energy among the computed polymorphs: 0.0 meV/atom
Energy of formation from the pure elements: 688 meV/atom

Lattice parameters (Å, degrees): 4.831 4.831 4.831 90.00 90.00 90.00
Space group Pm-3m (No. 221)
Inequivalent atoms, fractional coordinates:
Mn (0.000, 0.000, 0.500)
Bi (0.500, 0.500, 0.500)
Rh (0.000, 0.000, 0.000)

***

(4)
Crystalline MnBiRh3 at its relaxed geometry. Source: Alexandria via LeMat-Bulk, functional PBE-GGA.

Output
Relative energy among the computed polymorphs: 0.0 meV/atom
Energy of formation from the pure elements: 681 meV/atom

Lattice parameters (Å, degrees): 4.524 4.524 4.524 90.00 90.00 90.00
Space group Pm-3m (No. 221)
Inequivalent atoms, fractional coordinates:
Mn (0.000, 0.000, 0.000)
Bi (0.500, 0.500, 0.500)
Rh (0.000, 0.000, 0.500)

***

(5)
Crystalline Mn5Bi4Rh2 at its relaxed geometry. Source: Alexandria via LeMat-Bulk, functional PBE-GGA.

Output
Energy of formation from the pure elements: 84 meV/atom

Lattice parameters (Å, degrees): 12.273 12.273 12.273 90.00 90.00 90.00
Space group F-43m (No. 216)
Inequivalent atoms, fractional coordinates:
Mn (0.000, 0.000, 0.247)
Mn (0.160, 0.160, 0.840)
Bi (0.000, 0.000, 0.000)
Bi (0.000, 0.000, 0.500)
Bi (0.039, 0.250, 0.250)
Rh (0.129, 0.129, 0.629)

***

(6)
Crystalline MnBi2Rh2 at its relaxed geometry. Source: Alexandria via LeMat-Bulk, functional PBE-GGA.

Output
Relative energy among the computed polymorphs: 150.0 meV/atom
Energy of formation from the pure elements: 585 meV/atom

Lattice parameters (Å, degrees): 7.520 7.520 3.420 90.00 90.00 90.00
Space group P4/mbm (No. 127)
Inequivalent atoms, fractional coordinates:
Mn (0.000, 0.000, 0.000)
Bi (0.161, 0.339, 0.000)
Rh (0.139, 0.639, 0.500)

***

(7)
Crystalline MnBi3Rh at its relaxed geometry. Source: Alexandria via LeMat-Bulk, functional PBE-GGA.

Output
Relative energy among the computed polymorphs: 0.0 meV/atom
Energy of formation from the pure elements: 610 meV/atom

Lattice parameters (Å, degrees): 5.320 5.320 5.320 90.00 90.00 90.00
Space group Pm-3m (No. 221)
Inequivalent atoms, fractional coordinates:
Mn (0.000, 0.000, 0.000)
Bi (0.000, 0.500, 0.500)
Rh (0.500, 0.500, 0.500)

***

(8)
Crystalline MnBiRh3 at its relaxed geometry. Source: Alexandria via LeMat-Bulk, functional PBE-GGA.

Output
Relative energy among the computed polymorphs: 587.2 meV/atom
Energy of formation from the pure elements: 1269 meV/atom

Lattice parameters (Å, degrees): 4.928 4.928 4.928 90.00 90.00 90.00
Space group Pm-3m (No. 221)
Inequivalent atoms, fractional coordinates:
Mn (0.000, 0.000, 0.000)
Bi (0.500, 0.500, 0.500)
Rh (0.000, 0.500, 0.500)

***

(9)
Crystalline MnBi2Rh at its relaxed geometry. Source: Alexandria via LeMat-Bulk, functional PBE-GGA.

Output
Relative energy among the computed polymorphs: 156.9 meV/atom
Energy of formation from the pure elements: 509 meV/atom

Lattice parameters (Å, degrees): 6.778 6.778 6.778 90.00 90.00 90.00
Space group Fm-3m (No. 225)
Inequivalent atoms, fractional coordinates:
Mn (0.000, 0.000, 0.000)
Bi (0.250, 0.250, 0.250)
Rh (0.000, 0.000, 0.500)

***

(10)
Crystalline MnBi2Rh at its relaxed geometry. Source: Alexandria via LeMat-Bulk, functional PBE-GGA.

Output
Relative energy among the computed polymorphs: 0.0 meV/atom
Energy of formation from the pure elements: 352 meV/atom

Lattice parameters (Å, degrees): 4.684 4.684 17.607 90.00 90.00 90.00
Space group I-42d (No. 122)
Inequivalent atoms, fractional coordinates:
Mn (0.000, 0.000, 0.000)
Bi (0.241, 0.250, 0.625)
Rh (0.000, 0.000, 0.500)

***

(11)
Crystalline Mn2BiRh at its relaxed geometry. Source: Alexandria via LeMat-Bulk, functional PBE-GGA.

Output
Energy of formation from the pure elements: 498 meV/atom

Lattice parameters (Å, degrees): 4.023 4.023 18.426 90.00 90.00 90.00
Space group I-42d (No. 122)
Inequivalent atoms, fractional coordinates:
Mn (0.235, 0.250, 0.125)
Bi (0.000, 0.000, 0.500)
Rh (0.000, 0.000, 0.000)

***

(12)
Crystalline MnBiRuRh at its relaxed geometry. Source: Alexandria via LeMat-Bulk, functional PBE-GGA.

Output
Energy of formation from the pure elements: 89 meV/atom

Lattice parameters (Å, degrees): 6.423 6.423 6.423 90.00 90.00 90.00
Space group F-43m (No. 216)
Inequivalent atoms, fractional coordinates:
Mn (0.000, 0.000, 0.000)
Bi (0.000, 0.000, 0.500)
Ru (0.250, 0.250, 0.250)
Rh (0.250, 0.250, 0.750)

***

(13)
Crystalline Mn2BiRhSe at its relaxed geometry. Source: Alexandria via LeMat-Bulk, functional PBE-GGA.

Output
Energy relative to the elements, uncorrected: 483 meV/atom

Lattice parameters (Å, degrees): 4.994 4.994 4.594 90.00 90.00 90.00
Space group P4/mmm (No. 123)
Inequivalent atoms, fractional coordinates:
Mn (0.000, 0.500, 0.000)
Bi (0.000, 0.000, 0.500)
Rh (0.500, 0.500, 0.000)
Se (0.500, 0.500, 0.500)

***

(14)
Crystalline MnBi2RhSe at its relaxed geometry. Source: Alexandria via LeMat-Bulk, functional PBE-GGA.

Output
Energy relative to the elements, uncorrected: 611 meV/atom

Lattice parameters (Å, degrees): 5.261 5.261 4.345 90.00 90.00 90.00
Space group P4/mmm (No. 123)
Inequivalent atoms, fractional coordinates:
Mn (0.000, 0.000, 0.000)
Bi (0.000, 0.500, 0.000)
Rh (0.500, 0.500, 0.500)
Se (0.000, 0.000, 0.500)

***

(15)
Crystalline MnTcBiRh2 at its relaxed geometry. Source: Alexandria via LeMat-Bulk, functional PBE-GGA.

Output
Energy of formation from the pure elements: 825 meV/atom

Lattice parameters (Å, degrees): 4.586 4.586 4.390 90.00 90.00 90.00
Space group P4/mmm (No. 123)
Inequivalent atoms, fractional coordinates:
Mn (0.000, 0.000, 0.000)
Tc (0.000, 0.000, 0.500)
Bi (0.500, 0.500, 0.500)
Rh (0.000, 0.500, 0.000)

***

(16)
Crystalline YMnBiRh2 at its relaxed geometry. Source: Alexandria via LeMat-Bulk, functional PBE-GGA.

Output
Energy of formation from the pure elements: 325 meV/atom

Lattice parameters (Å, degrees): 4.537 4.537 5.141 90.00 90.00 90.00
Space group P4/mmm (No. 123)
Inequivalent atoms, fractional coordinates:
Y (0.000, 0.000, 0.000)
Mn (0.000, 0.000, 0.500)
Bi (0.500, 0.500, 0.000)
Rh (0.000, 0.500, 0.500)

***

(17)
Crystalline Mn2Bi2Ru at its relaxed geometry. Source: Alexandria via LeMat-Bulk, functional PBE-GGA.

Output
Relative energy among the computed polymorphs: 0.0 meV/atom
Energy of formation from the pure elements: 573 meV/atom

Lattice parameters (Å, degrees): 7.081 7.081 3.938 90.00 90.00 90.00
Space group P4/mbm (No. 127)
Inequivalent atoms, fractional coordinates:
Mn (0.131, 0.369, 0.000)
Bi (0.177, 0.677, 0.500)
Ru (0.000, 0.000, 0.000)

***

(18)
Crystalline Mn2Bi2Ru at its relaxed geometry. Source: Alexandria via LeMat-Bulk, functional PBE-GGA.

Output
Relative energy among the computed polymorphs: 352.8 meV/atom
Energy of formation from the pure elements: 926 meV/atom

Lattice parameters (Å, degrees): 5.297 5.297 7.099 90.00 90.00 90.00
Space group I4/mmm (No. 139)
Inequivalent atoms, fractional coordinates:
Mn (0.000, 0.000, 0.140)
Bi (0.000, 0.500, 0.250)
Ru (0.000, 0.000, 0.500)

***

(19)
Crystalline Mn3BiRu at its relaxed geometry. Source: Alexandria via LeMat-Bulk, functional PBE-GGA.

Output
Relative energy among the computed polymorphs: 0.0 meV/atom
Energy of formation from the pure elements: 905 meV/atom

Lattice parameters (Å, degrees): 4.771 4.771 4.771 90.00 90.00 90.00
Space group Pm-3m (No. 221)
Inequivalent atoms, fractional coordinates:
Mn (0.000, 0.000, 0.500)
Bi (0.500, 0.500, 0.500)
Ru (0.000, 0.000, 0.000)

***

(20)
Crystalline Mn2BiRu at its relaxed geometry. Source: Alexandria via LeMat-Bulk, functional PBE-GGA.

Output
Energy of formation from the pure elements: 743 meV/atom

Lattice parameters (Å, degrees): 3.953 3.953 18.866 90.00 90.00 90.00
Space group I-42d (No. 122)
Inequivalent atoms, fractional coordinates:
Mn (0.236, 0.250, 0.125)
Bi (0.000, 0.000, 0.500)
Ru (0.000, 0.000, 0.000)

***

| no. | DFT total energy (eV per atom) | density (g/cm³) |
| --- | --- | --- |
| 1 | -5.89 | 11.5 |
| 2 | -5.63 | 11.0 |
| 3 | -7.06 | 7.0 |
| 4 | -6.34 | 10.3 |
| 5 | -6.83 | 9.5 |
| 6 | -5.74 | 11.7 |
| 7 | -5.02 | 8.7 |
| 8 | -5.75 | 7.9 |
| 9 | -5.56 | 12.3 |
| 10 | -5.72 | 9.9 |
| 11 | -6.89 | 9.4 |
| 12 | -7.33 | 11.7 |
| 13 | -6.13 | 7.3 |
| 14 | -4.94 | 9.0 |
| 15 | -6.80 | 10.2 |
| 16 | -6.52 | 8.8 |
| 17 | -6.50 | 10.6 |
| 18 | -6.15 | 10.5 |
| 19 | -7.23 | 7.3 |
| 20 | -7.13 | 9.5 |